Record 1
The following is a DFT calculation (GGA-PBE) of an optimized crystal structure of Al2Mo3C.

Geometry as POSCAR:
```
Al2Mo3C
1.0
6.889 0.000 0.000
0.000 6.889 0.000
0.000 0.000 6.889
Al Mo C
8 12 4
Cartesian
0.459 0.459 0.459
1.263 5.626 2.181
2.181 1.263 5.626
2.986 6.430 3.904
3.904 2.986 6.430
4.708 4.708 4.708
5.626 2.181 1.263
6.430 3.904 2.986
0.334 6.028 4.833
0.861 1.388 3.110
1.388 3.110 0.861
2.057 3.779 4.306
2.583 5.501 6.555
3.110 0.861 1.388
3.779 4.306 2.057
4.306 2.057 3.779
4.833 0.334 6.028
5.501 6.555 2.583
6.028 4.833 0.334
6.555 2.583 5.501
0.861 4.306 6.028
2.583 2.583 2.583
4.306 6.028 0.861
6.028 0.861 4.306
```

Results
* electronic total energy: -50.3 eV/f.u.
* ΔE_f: -0.1834 eV/atom
* total magnetization: 0.0 μB per formula unit

Record 2
The following is a DFT calculation (GGA-PBE) of an optimized crystal structure of AlMoC.

Geometry as POSCAR:
```
AlMoC
1.0
2.950 0.000 0.000
0.000 2.950 0.000
0.000 0.000 8.643
Al Mo C
2 2 2
Cartesian
0.737 0.737 1.021
2.212 2.212 7.622
0.737 0.737 5.731
2.212 2.212 2.912
0.737 0.737 3.426
2.212 2.212 5.217
```

Results
* electronic total energy: -23.1 eV/f.u.
* ΔE_f: 0.2432 eV/atom
* total magnetization: 0.0 μB per formula unit

Record 3
The following is a DFT calculation (GGA-PBE) of an optimized crystal structure of AlMo6C.

Geometry as POSCAR:
```
AlMo6C
1.0
2.770 1.599 4.630
-2.770 1.599 4.630
0.000 -3.199 4.630
Al Mo C
1 6 1
Cartesian
0.000 0.000 0.000
-1.761 -0.394 5.805
-0.540 -1.722 8.085
1.222 -1.328 5.805
-1.222 1.328 8.085
0.540 1.722 5.805
1.761 0.394 8.085
0.000 0.000 6.945
```

Results
* electronic total energy: -74.8 eV/f.u.
* ΔE_f: 0.3933 eV/atom
* total magnetization: 0.0 μB per formula unit

Record 4
The following is a DFT calculation (GGA-PBE) of an optimized crystal structure of AlMoC3.

Geometry as POSCAR:
```
AlMoC3
1.0
4.095 0.000 0.000
0.000 4.095 0.000
0.000 0.000 4.095
Al Mo C
1 1 3
Cartesian
0.000 0.000 0.000
2.047 2.047 2.047
0.000 2.047 2.047
2.047 0.000 2.047
2.047 2.047 0.000
```

Results
* electronic total energy: -32.9 eV/f.u.
* ΔE_f: 1.8636 eV/atom
* total magnetization: 0.0 μB per formula unit

Record 5
The following is a DFT calculation (GGA-PBE) of an optimized crystal structure of AlMo2C.

Geometry as POSCAR:
```
AlMo2C
1.0
0.000 2.964 2.964
2.964 0.000 2.964
2.964 2.964 0.000
Al Mo C
1 2 1
Cartesian
0.000 0.000 0.000
1.482 1.482 1.482
4.446 4.446 4.446
2.964 2.964 2.964
```

Results
* electronic total energy: -30.5 eV/f.u.
* ΔE_f: 1.0360 eV/atom
* total magnetization: 0.0 μB per formula unit

Record 6
The following is a DFT calculation (GGA-PBE) of an optimized crystal structure of AlMo2C.

Geometry as POSCAR:
```
AlMo2C
1.0
1.498 0.865 6.985
-1.498 0.865 6.985
0.000 -1.730 6.985
Al Mo C
1 2 1
Cartesian
0.000 0.000 0.000
0.000 0.000 4.716
0.000 0.000 16.238
0.000 0.000 10.477
```

Results
* electronic total energy: -35.0 eV/f.u.
* ΔE_f: -0.0846 eV/atom
* total magnetization: 0.0 μB per formula unit

Record 7
The following is a DFT calculation (GGA-PBE) of an optimized crystal structure of NbAlMoC2.

Geometry as POSCAR:
```
NbAlMoC2
1.0
4.047 0.000 0.000
0.000 4.047 0.000
0.000 0.000 5.029
Nb Al Mo C
1 1 1 2
Cartesian
0.000 0.000 0.000
0.000 0.000 2.515
2.023 2.023 2.515
0.000 2.023 0.000
2.023 0.000 0.000
```

Results
* electronic total energy: -33.1 eV/f.u.
* ΔE_f: 1.9890 eV/atom
* total magnetization: 0.0 μB per formula unit